DFT (PBE) results for an optimized crystal structure of PmPr2Rh3.

* symmetry: Immm, No. 71
* density of states at the Fermi level: 1.19 states/eV/f.u.
* E: -6.55 eV/atom
* total magnetic moment: 0.000 μB/atom
* formation energy from the elements: -0.491 eV/atom

abc: 4.119 5.815 7.096
angles: 114.19 106.87 90.00
Sites, in units of the cell vectors:
Pm1 0.000 0.500 0.000
Rh1 0.663 0.663 0.325
Rh2 0.000 0.000 0.000
Rh3 0.337 0.337 0.675
Pr1 0.668 0.168 0.335
Pr2 0.332 0.832 0.665

=====

DFT (PBE) results for an optimized crystal structure of Zn2TeOs.

* uncorrected formation energy: 566 meV/atom
* symmetry: Cmm2, No. 35
* density of states at the Fermi level: 2.58 states/eV/f.u.
* E: -3.66 eV/atom
* total magnetic moment: 0.000 μB/atom

abc: 3.008 3.008 9.698
angles: 90.00 90.00 120.09
Sites, in units of the cell vectors:
Zn1 0.000 0.000 0.040
Zn2 0.500 0.500 0.265
Te1 0.500 0.500 0.711
Os1 0.000 0.000 0.484

=====

DFT (PBE) results for an optimized crystal structure of BaZn2Cl.

* uncorrected formation energy: -654 meV/atom
* energy above the lowest structure with this stoichiometry: 0.085 eV per atom
* symmetry: P4mm, No. 99
* density of states at the Fermi level: 3.15 states/eV/f.u.
* E: -2.23 eV/atom
* total magnetic moment: 0.000 μB/atom

abc: 3.930 3.931 7.869
angles: 90.00 90.00 90.00
Sites, in units of the cell vectors:
Ba1 0.000 0.000 0.510
Zn1 0.000 0.000 0.104
Zn2 0.500 0.500 0.193
Cl1 0.500 0.500 0.693

=====

DFT (PBE) results for an optimized crystal structure of Tl2FePd.

* energy above the lowest structure with this stoichiometry: 0.000 eV per atom
* symmetry: Fm-3m, No. 225
* density of states at the Fermi level: 5.19 states/eV/f.u.
* E: -4.26 eV/atom
* total magnetic moment: 0.628 μB/atom
* formation energy from the elements: 0.334 eV/atom

abc: 4.755 4.755 4.755
angles: 60.00 60.00 60.00
Site moments in Bohr magnetons follow the coordinates.
Sites, in units of the cell vectors:
Pd1 0.500 0.500 0.500  0.01
Tl1 0.750 0.750 0.750  -0.04
Tl2 0.250 0.250 0.250  -0.04
Fe1 0.000 0.000 0.000  2.59

=====

DFT (PBE) results for an optimized crystal structure of NbAg2Br2.

* uncorrected formation energy: 760 meV/atom
* energy above the lowest structure with this stoichiometry: 0.118 eV per atom
* symmetry: I4/mmm, No. 139
* density of states at the Fermi level: 6.12 states/eV/f.u.
* E: -3.06 eV/atom
* total magnetic moment: 0.600 μB/atom

abc: 4.735 4.735 6.524
angles: 68.72 68.72 90.00
Site moments in Bohr magnetons follow the coordinates.
Sites, in units of the cell vectors:
Br1 0.750 0.250 0.500  -0.04
Br2 0.250 0.750 0.500  -0.04
Nb1 0.000 0.000 0.000  2.58
Ag1 0.615 0.615 0.770  -0.03
Ag2 0.385 0.385 0.230  -0.03

=====

DFT (PBE) results for an optimized crystal structure of Zr2BeAg.

* symmetry: I4/mmm, No. 139
* density of states at the Fermi level: 4.44 states/eV/f.u.
* E: -5.84 eV/atom
* total magnetic moment: 0.000 μB/atom
* formation energy from the elements: 0.081 eV/atom

abc: 5.015 5.015 5.015
angles: 129.40 129.39 74.38
Sites, in units of the cell vectors:
Ag1 0.750 0.250 0.500
Be1 0.250 0.750 0.500
Zr1 0.500 0.500 0.000
Zr2 0.000 0.000 0.000

=====

DFT (PBE) results for an optimized crystal structure of TaW7.

* energy above the lowest structure with this stoichiometry: 0.000 eV per atom
* symmetry: R-3m, No. 166
* density of states at the Fermi level: 3.56 states/eV/f.u.
* E: -12.88 eV/atom
* total magnetic moment: 0.000 μB/atom
* formation energy from the elements: -0.060 eV/atom

abc: 6.397 6.397 6.397
angles: 89.97 89.97 89.97
Sites, in units of the cell vectors:
W1 0.751 0.751 0.751
W2 0.751 0.249 0.751
W3 0.999 0.501 0.999
W4 0.249 0.751 0.751
W5 0.751 0.751 0.249
W6 0.999 0.999 0.501
W7 0.999 0.501 0.501
W8 0.501 0.501 0.999
W9 0.249 0.751 0.249
W10 0.249 0.249 0.751
W11 0.501 0.999 0.501
W12 0.501 0.999 0.999
W13 0.999 0.999 0.999
W14 0.751 0.249 0.249
Ta1 0.501 0.501 0.501
Ta2 0.249 0.249 0.249

=====

DFT (PBE) results for an optimized crystal structure of ScTaCrCoAs.

* energy above the lowest structure with this stoichiometry: 0.073 eV per atom
* symmetry: Amm2, No. 38
* density of states at the Fermi level: 3.56 states/eV/f.u.
* E: -8.19 eV/atom
* total magnetic moment: 0.392 μB/atom
* formation energy from the elements: -0.276 eV/atom

abc: 3.372 3.694 12.706
angles: 90.00 90.00 90.00
Site moments in Bohr magnetons follow the coordinates.
Sites, in units of the cell vectors:
Cr1 0.000 0.000 0.458  1.80
Cr2 0.000 0.500 0.958  1.80
Sc1 0.500 0.000 0.086  -0.07
Sc2 0.500 0.500 0.586  -0.07
Co1 0.000 0.500 0.778  0.43
Co2 0.000 0.000 0.278  0.43
As1 0.000 0.500 0.165  -0.02
As2 0.000 0.000 0.665  -0.02
Ta1 0.500 0.500 0.347  -0.20
Ta2 0.500 0.000 0.847  -0.20

=====

DFT (PBE) results for an optimized crystal structure of Pa2TiTlO8.

* uncorrected formation energy: -2839 meV/atom
* symmetry: Cmmm, No. 65
* density of states at the Fermi level: 1.86 states/eV/f.u.
* E: -8.58 eV/atom
* total magnetic moment: 0.000 μB/atom

abc: 4.961 4.961 7.146
angles: 90.00 90.01 88.96
Sites, in units of the cell vectors:
Ti1 0.000 0.000 0.000
O1 0.326 0.325 0.500
O2 0.194 0.805 0.798
O3 0.194 0.805 0.202
O4 0.674 0.675 0.500
O5 0.298 0.298 0.000
O6 0.806 0.195 0.798
O7 0.806 0.195 0.202
O8 0.702 0.702 0.000
Pa1 0.500 0.500 0.757
Pa2 0.500 0.500 0.243
Tl1 0.000 0.000 0.500

=====

DFT (PBE) results for an optimized crystal structure of YErCuSe3.

* uncorrected formation energy: -1356 meV/atom
* symmetry: P2_1/m, No. 11
* density of states at the Fermi level: 1.98 states/eV/f.u.
* E: -5.62 eV/atom
* total magnetic moment: 0.000 μB/atom

abc: 3.877 6.885 10.551
angles: 90.00 90.00 106.48
Sites, in units of the cell vectors:
Er1 0.229 0.454 0.750
Er2 0.771 0.546 0.250
Se1 0.352 0.705 0.424
Se2 0.352 0.705 0.076
Se3 0.648 0.295 0.924
Se4 0.648 0.295 0.576
Se5 0.901 0.799 0.750
Se6 0.099 0.201 0.250
Y1 0.000 0.000 0.000
Y2 0.000 0.000 0.500
Cu1 0.526 0.046 0.750
Cu2 0.474 0.954 0.250

=====

DFT (PBE) results for an optimized crystal structure of Sm2CdCu3.

* energy above the lowest structure with this stoichiometry: 0.004 eV per atom
* symmetry: Fmmm, No. 69
* density of states at the Fermi level: 3.88 states/eV/f.u.
* E: -3.96 eV/atom
* total magnetic moment: 0.000 μB/atom
* formation energy from the elements: -0.189 eV/atom

abc: 5.802 5.802 8.501
angles: 105.48 105.48 102.58
Sites, in units of the cell vectors:
Cu1 0.161 0.677 0.838
Cu2 0.839 0.839 0.678
Cu3 0.839 0.323 0.162
Cu4 0.161 0.161 0.322
Cu5 0.677 0.161 0.838
Cu6 0.323 0.839 0.162
Sm1 0.250 0.750 0.500
Sm2 0.241 0.241 0.000
Sm3 0.759 0.759 0.000
Sm4 0.750 0.250 0.500
Cd1 0.666 0.666 0.332
Cd2 0.334 0.334 0.668

=====

DFT (PBE) results for an optimized crystal structure of Li2ScCdO.

* uncorrected formation energy: -1165 meV/atom
* symmetry: P4/mmm, No. 123
* density of states at the Fermi level: 3.82 states/eV/f.u.
* E: -4.37 eV/atom
* total magnetic moment: 0.081 μB/atom

abc: 4.397 4.397 4.114
angles: 90.00 90.00 90.00
Site moments in Bohr magnetons follow the coordinates.
Sites, in units of the cell vectors:
Cd1 0.500 0.500 0.500  0.03
Sc1 0.000 0.000 0.500  0.15
O1 0.000 0.000 0.000  0.01
Li1 0.500 0.000 0.000  0.01
Li2 0.000 0.500 0.000  0.01

=====

DFT (PBE) results for an optimized crystal structure of Fe2BiPt2.

* energy above the lowest structure with this stoichiometry: 0.101 eV per atom
* symmetry: P4/mbm, No. 127
* density of states at the Fermi level: 13.28 states/eV/f.u.
* E: -6.12 eV/atom
* total magnetic moment: 0.030 μB/atom
* formation energy from the elements: 0.455 eV/atom

abc: 7.567 7.567 2.824
angles: 90.00 90.00 90.00
Site moments in Bohr magnetons follow the coordinates.
Sites, in units of the cell vectors:
Pt1 0.128 0.372 0.000  0.03
Pt2 0.872 0.628 0.000  0.03
Pt3 0.628 0.128 0.000  0.02
Pt4 0.372 0.872 0.000  0.02
Fe1 0.166 0.666 0.500  -0.11
Fe2 0.666 0.834 0.500  -0.09
Fe3 0.334 0.166 0.500  -0.09
Fe4 0.834 0.334 0.500  -0.11
Bi1 0.000 0.000 0.000  0.01
Bi2 0.500 0.500 0.000  0.01

=====

DFT (PBE) results for an optimized crystal structure of MnBeAu2.

* symmetry: I-4m2, No. 119
* density of states at the Fermi level: 2.21 states/eV/f.u.
* E: -4.81 eV/atom
* total magnetic moment: 1.012 μB/atom
* formation energy from the elements: 0.055 eV/atom

abc: 4.893 4.893 4.893
angles: 133.60 133.60 67.72
Site moments in Bohr magnetons follow the coordinates.
Sites, in units of the cell vectors:
Au1 0.250 0.750 0.500  0.08
Au2 0.000 0.000 0.000  0.07
Be1 0.500 0.500 0.000  -0.03
Mn1 0.750 0.250 0.500  3.78

=====

DFT (PBE) results for an optimized crystal structure of LiMg2SnF.

* uncorrected formation energy: -1089 meV/atom
* symmetry: P4/mmm, No. 123
* density of states at the Fermi level: 0.67 states/eV/f.u.
* E: -3.28 eV/atom
* total magnetic moment: 0.000 μB/atom

abc: 4.655 4.655 4.079
angles: 90.00 90.00 90.00
Sites, in units of the cell vectors:
Mg1 0.500 0.000 0.000
Mg2 0.000 0.500 0.000
F1 0.000 0.000 0.000
Li1 0.000 0.000 0.500
Sn1 0.500 0.500 0.500

=====

DFT (PBE) results for an optimized crystal structure of MgP.

* energy above the lowest structure with this stoichiometry: 0.286 eV per atom
* symmetry: Cmcm, No. 63
* density of states at the Fermi level: 0.81 states/eV/f.u.
* E: -3.74 eV/atom
* total magnetic moment: 0.000 μB/atom
* formation energy from the elements: -0.234 eV/atom

abc: 5.564 5.564 4.599
angles: 90.00 90.00 150.51
Sites, in units of the cell vectors:
P1 0.124 0.876 0.250
P2 0.876 0.124 0.750
Mg1 0.621 0.379 0.750
Mg2 0.379 0.621 0.250

=====

DFT (PBE) results for an optimized crystal structure of PrTh2V.

* symmetry: R-3m, No. 166
* density of states at the Fermi level: 6.57 states/eV/f.u.
* E: -6.68 eV/atom
* total magnetic moment: 0.441 μB/atom
* formation energy from the elements: 0.509 eV/atom

abc: 3.447 3.447 11.553
angles: 81.42 81.42 60.00
Site moments in Bohr magnetons follow the coordinates.
Sites, in units of the cell vectors:
Th1 0.902 0.902 0.295  0.02
Th2 0.098 0.098 0.705  0.02
V1 0.500 0.500 0.500  1.62
Pr1 0.000 0.000 0.000  -0.07

=====

DFT (PBE) results for an optimized crystal structure of HfOs2W2.

* symmetry: P4/mbm, No. 127
* density of states at the Fermi level: 8.12 states/eV/f.u.
* E: -11.58 eV/atom
* total magnetic moment: 0.000 μB/atom
* formation energy from the elements: 0.083 eV/atom

abc: 7.597 7.597 2.924
angles: 90.00 90.00 90.00
Sites, in units of the cell vectors:
Hf1 0.500 0.500 0.000
Hf2 0.000 0.000 0.000
Os1 0.134 0.366 0.000
Os2 0.366 0.866 0.000
Os3 0.634 0.134 0.000
Os4 0.866 0.634 0.000
W1 0.663 0.837 0.500
W2 0.337 0.163 0.500
W3 0.163 0.663 0.500
W4 0.837 0.337 0.500

=====

DFT (PBE) results for an optimized crystal structure of Pm2ErBi2N2.

* uncorrected formation energy: -904 meV/atom
* symmetry: I4/mmm, No. 139
* density of states at the Fermi level: 3.49 states/eV/f.u.
* E: -6.40 eV/atom
* total magnetic moment: 0.000 μB/atom

abc: 4.494 4.494 8.680
angles: 105.00 105.00 90.00
Sites, in units of the cell vectors:
Pm1 0.408 0.408 0.816
Pm2 0.592 0.592 0.184
Er1 0.000 0.000 0.000
Bi1 0.213 0.213 0.425
Bi2 0.787 0.787 0.575
N1 0.500 0.000 0.000
N2 0.000 0.500 0.000

=====

DFT (PBE) results for an optimized crystal structure of PuTl2Cu2Se4.

* uncorrected formation energy: -661 meV/atom
* symmetry: C2/m, No. 12
* density of states at the Fermi level: 11.40 states/eV/f.u.
* E: -5.24 eV/atom
* total magnetic moment: 0.445 μB/atom

abc: 4.079 8.013 7.693
angles: 108.11 105.37 90.00
Site moments in Bohr magnetons follow the coordinates.
Sites, in units of the cell vectors:
Se1 0.524 0.769 0.047  -0.12
Se2 0.800 0.821 0.600  -0.11
Se3 0.476 0.231 0.953  -0.12
Se4 0.200 0.179 0.400  -0.11
Cu1 0.316 0.010 0.633  -0.11
Cu2 0.684 0.990 0.367  -0.11
Tl1 0.136 0.572 0.273  -0.01
Tl2 0.864 0.428 0.727  -0.01
Pu1 0.000 0.000 0.000  4.80

=====

DFT (PBE) results for an optimized crystal structure of CrRh3Se.

* uncorrected formation energy: 939 meV/atom
* energy above the lowest structure with this stoichiometry: 0.000 eV per atom
* symmetry: Pm-3m, No. 221
* density of states at the Fermi level: 5.81 states/eV/f.u.
* E: -6.09 eV/atom
* total magnetic moment: 0.000 μB/atom

abc: 4.479 4.479 4.479
angles: 90.00 90.00 90.00
Sites, in units of the cell vectors:
Se1 0.500 0.500 0.500
Cr1 0.000 0.000 0.000
Rh1 0.000 0.500 0.000
Rh2 0.500 0.000 0.000
Rh3 0.000 0.000 0.500

=====

DFT (PBE) results for an optimized crystal structure of SrZn2Co.

* symmetry: Cm, No. 8
* density of states at the Fermi level: 3.01 states/eV/f.u.
* E: -2.88 eV/atom
* total magnetic moment: 0.007 μB/atom
* formation energy from the elements: -0.050 eV/atom

abc: 4.263 4.263 5.938
angles: 68.89 68.89 59.99
Sites, in units of the cell vectors:
Zn1 0.763 0.763 0.712
Zn2 0.057 0.057 0.830
Co1 0.434 0.434 0.698
Sr1 0.246 0.246 0.260

=====

DFT (PBE) results for an optimized crystal structure of Ac8PRh3I3.

* uncorrected formation energy: -924 meV/atom
* symmetry: C2/m, No. 12
* density of states at the Fermi level: 10.34 states/eV/f.u.
* E: -5.26 eV/atom
* total magnetic moment: 0.000 μB/atom

abc: 8.890 8.892 9.818
angles: 116.92 89.98 119.99
Sites, in units of the cell vectors:
Rh1 0.500 0.500 0.500
Rh2 0.500 0.000 0.500
Rh3 0.000 0.500 0.500
I1 0.000 0.500 0.000
I2 0.500 0.500 0.000
I3 0.000 0.000 0.000
Ac1 0.764 0.529 0.310
Ac2 0.764 0.046 0.311
Ac3 0.236 0.471 0.690
Ac4 0.719 0.954 0.690
Ac5 0.236 0.954 0.689
Ac6 0.270 0.540 0.310
Ac7 0.281 0.046 0.310
Ac8 0.730 0.460 0.690
P1 0.000 0.000 0.500

=====

DFT (PBE) results for an optimized crystal structure of K2Cu4Te.

* uncorrected formation energy: 519 meV/atom
* symmetry: I4/mmm, No. 139
* density of states at the Fermi level: 2.46 states/eV/f.u.
* E: -2.58 eV/atom
* total magnetic moment: 0.000 μB/atom

abc: 5.008 5.008 9.466
angles: 74.66 74.66 90.00
Sites, in units of the cell vectors:
Cu1 0.151 0.151 0.697
Cu2 0.000 0.500 0.000
Cu3 0.500 0.000 0.000
Cu4 0.849 0.849 0.303
K1 0.657 0.657 0.687
K2 0.343 0.343 0.313
Te1 0.000 0.000 0.000

=====

DFT (PBE) results for an optimized crystal structure of Tb4Tm5Zr.

* energy above the lowest structure with this stoichiometry: 0.208 eV per atom
* symmetry: I4mm, No. 107
* density of states at the Fermi level: 14.45 states/eV/f.u.
* E: -4.70 eV/atom
* total magnetic moment: 0.000 μB/atom
* formation energy from the elements: 0.246 eV/atom

abc: 5.800 7.901 7.901
angles: 82.26 68.47 68.47
Sites, in units of the cell vectors:
Tm1 0.676 0.000 0.000
Tm2 0.782 0.370 0.000
Tm3 0.782 0.000 0.370
Tm4 0.152 0.630 0.000
Tm5 0.152 0.000 0.630
Tb1 0.760 0.679 0.679
Tb2 0.118 0.321 0.321
Tb3 0.439 0.321 0.679
Tb4 0.439 0.679 0.321
Zr1 0.210 0.000 0.000